# NaGdScIn PBE relaxed
data_NaGdScIn
_chemical_formula_sum 'Na4 Gd4 Sc4 In4'
_cell_length_a 7.462
_cell_length_b 7.462
_cell_length_c 7.462
_cell_angle_alpha 90.00
_cell_angle_beta 90.00
_cell_angle_gamma 90.00
_space_group_name_H-M_alt 'P 1'
_space_group_IT_number 1
loop_
_space_group_symop_operation_xyz
'x,y,z'
loop_
_atom_site_label
_atom_site_fract_x
_atom_site_fract_y
_atom_site_fract_z
Na1 0.000 0.000 0.000
Na2 0.000 0.500 0.500
Na3 0.500 0.000 0.500
Na4 0.500 0.500 0.000
Gd1 0.250 0.250 0.250
Gd2 0.250 0.750 0.750
Gd3 0.750 0.250 0.750
Gd4 0.750 0.750 0.250
Sc1 0.250 0.250 0.750
Sc2 0.250 0.750 0.250
Sc3 0.750 0.250 0.250
Sc4 0.750 0.750 0.750
In1 0.000 0.000 0.500
In2 0.000 0.500 0.000
In3 0.500 0.000 0.000
In4 0.500 0.500 0.500
# **Total moment**: 31.38 μB/cell
# **Energy of formation**: -0.100 eV/atom
# **Raw total energy**: -0.457 Ry per atom